Record 1
The following is a DFT calculation (GGA-PBE) of a relaxed structure of Re2RuBr.

Properties
Uncorrected formation energy ... 373 kJ/mol of formula units
Total magnetization ... 0.0 Bohr magnetons per cell
Final energy ... -7.994 eV/atom
Density of states at the Fermi level ... 1.09 states/eV per atom

abc: 2.894 4.148 5.538
angles: 90.00 105.08 90.00
Positions (direct):
Re: 0.125 0.000 0.225
Re: 0.875 0.000 0.775
Ru: 0.500 0.500 0.000
Br: 0.500 0.500 0.500


Record 2
The following is a DFT calculation (GGA-PBE) of a relaxed structure of Re2RuBr.

Properties
Uncorrected formation energy ... 380 kJ/mol of formula units
Total magnetization ... 0.0 Bohr magnetons per cell
Final energy ... -7.975 eV/atom
Density of states at the Fermi level ... 1.05 states/eV per atom

abc: 2.774 2.774 9.983
angles: 90.00 90.00 119.33
Positions (direct):
Re: 0.000 0.000 0.222
Re: 0.000 0.000 0.778
Ru: 0.500 0.500 0.000
Br: 0.500 0.500 0.500


Record 3
The following is a DFT calculation (GGA-PBE) of a relaxed structure of ReRuBr4.

Properties
Uncorrected formation energy ... 1172 kJ/mol of formula units
Total magnetization ... 2.6 Bohr magnetons per cell
Final energy ... -2.711 eV/atom
Density of states at the Fermi level ... 1.87 states/eV per atom

abc: 6.113 6.113 6.113
angles: 60.00 60.00 60.00
Positions (direct):
Re: 0.000 0.000 0.000
Ru: 0.750 0.750 0.750
Br: 0.376 0.376 0.376
Br: 0.376 0.376 0.873
Br: 0.376 0.873 0.376
Br: 0.873 0.376 0.376


Record 4
The following is a DFT calculation (GGA-PBE) of a relaxed structure of Re2RuBr.

Properties
Uncorrected formation energy ... 518 kJ/mol of formula units
Total magnetization ... 0.0 Bohr magnetons per cell
Final energy ... -7.618 eV/atom
Density of states at the Fermi level ... 1.31 states/eV per atom

abc: 5.030 5.030 5.030
angles: 135.00 135.00 65.53
Positions (direct):
Re: 0.250 0.750 0.500
Re: 0.750 0.250 0.500
Ru: 0.000 0.000 0.000
Br: 0.500 0.500 0.000


Record 5
The following is a DFT calculation (GGA-PBE) of a relaxed structure of Re2RuBr.

Properties
Uncorrected formation energy ... 603 kJ/mol of formula units
Total magnetization ... 0.0 Bohr magnetons per cell
Final energy ... -7.399 eV/atom
Density of states at the Fermi level ... 1.31 states/eV per atom

abc: 6.717 6.717 6.717
angles: 129.53 129.53 74.16
Positions (direct):
Re: 0.109 0.625 0.984
Re: 0.375 0.359 0.484
Re: 0.641 0.125 0.016
Re: 0.875 0.891 0.516
Ru: 0.000 0.000 0.000
Ru: 0.750 0.250 0.500
Br: 0.250 0.750 0.500
Br: 0.500 0.500 0.000


Record 6
The following is a DFT calculation (GGA-PBE) of a relaxed structure of Re2RuBr.

Properties
Uncorrected formation energy ... 274 kJ/mol of formula units
Total magnetization ... 0.0 Bohr magnetons per cell
Final energy ... -8.252 eV/atom
Density of states at the Fermi level ... 0.72 states/eV per atom

abc: 8.861 8.861 8.861
angles: 18.68 18.68 18.68
Positions (direct):
Re: 0.248 0.248 0.248
Re: 0.752 0.752 0.752
Ru: 0.500 0.500 0.500
Br: 0.000 0.000 0.000


Record 7
The following is a DFT calculation (GGA-PBE) of a relaxed structure of Re2RuBr.

Properties
Uncorrected formation energy ... 379 kJ/mol of formula units
Total magnetization ... 0.0 Bohr magnetons per cell
Final energy ... -7.978 eV/atom
Density of states at the Fermi level ... 0.96 states/eV per atom

abc: 5.382 5.382 5.382
angles: 148.28 130.85 59.68
Positions (direct):
Re: 0.232 0.232 0.000
Re: 0.768 0.768 0.000
Ru: 0.500 0.000 0.500
Br: 0.000 0.500 0.500


Record 8
The following is a DFT calculation (GGA-PBE) of a relaxed structure of ReRu4Br.

Properties
Uncorrected formation energy ... 682 kJ/mol of formula units
Total magnetization ... 0.0 Bohr magnetons per cell
Final energy ... -7.359 eV/atom
Density of states at the Fermi level ... 1.79 states/eV per atom

abc: 5.127 5.127 5.127
angles: 60.00 60.00 60.00
Positions (direct):
Re: 0.000 0.000 0.000
Ru: 0.124 0.625 0.625
Ru: 0.625 0.124 0.625
Ru: 0.625 0.625 0.124
Ru: 0.625 0.625 0.625
Br: 0.250 0.250 0.250